The following is a GGA-PBE calculation of a relaxed structure of Sr3In2Hg4, from Alexandria.

abc: 5.0784 6.4648 9.6795
angles: 112.51 90.00 113.13
Fractional positions:
Sr  0.6542  0.3085  0.6769
Sr  0.0000  0.0000  0.0000
Sr  0.3458  0.6915  0.3231
In  0.6305  0.2610  0.2966
In  0.3695  0.7390  0.7034
Hg  0.7155  0.4309  0.0539
Hg  0.2845  0.5691  0.9461
Hg  0.9222  0.8445  0.5912
Hg  0.0778  0.1555  0.4088

Results
Energy relative to the elements, eV per atom: -0.481
Size of the total moment, μB per formula unit: 0.00
Raw total energy, eV per atom: -1.7848